1.
Density functional theory data (GGA-PBE) for a geometry-optimized LiCe2Br6 structure.

```
18
Lattice="6.9705 0.0000 0.0000 0.0000 6.9705 0.0000 0.0000 0.0000 12.8517" Properties=species:S:1:pos:R:3 pbc="T T T"
Li 3.4853 3.4853 0.0000
Li 0.0000 0.0000 6.4259
Ce 3.4853 3.4853 4.3704
Ce 3.4853 3.4853 8.4813
Ce 0.0000 0.0000 2.0554
Ce 0.0000 0.0000 10.7963
Br 4.8388 4.8388 2.0419
Br 4.8388 4.8388 10.8098
Br 4.9926 4.9926 6.4259
Br 5.4631 1.5074 0.0000
Br 5.6170 1.3535 4.3840
Br 5.6170 1.3535 8.4678
Br 1.3535 5.6170 4.3840
Br 1.3535 5.6170 8.4678
Br 1.5074 5.4631 0.0000
Br 1.9779 1.9779 6.4259
Br 2.1317 2.1317 2.0419
Br 2.1317 2.1317 10.8098
```

Properties
As for the calculated volume: 624.4 Å³ per cell. The theoretical density comes out at 4.08 g cm⁻³.

2.
Density functional theory data (GGA-PBE) for a geometry-optimized LiCe2Br6 structure.

```
9
Lattice="-2.0991 0.6796 3.2636 4.6914 -1.5307 5.7137 3.7903 10.1274 2.7065" Properties=species:S:1:pos:R:3 pbc="T T T"
Li 0.0000 0.0000 0.0000
Ce 0.8008 3.1333 2.2402
Ce 5.5818 6.1431 9.4437
Br 0.0887 1.2802 4.5457
Br 6.2939 7.9962 7.1382
Br 4.9151 4.4869 6.9822
Br 2.4920 1.7224 8.3769
Br 3.8906 7.5540 3.3070
Br 1.4674 4.7895 4.7017
```

Properties
As for the calculated volume: 310.2 Å³ per cell. The theoretical density comes out at 4.10 g cm⁻³.

2 is the most stable structure; the next one sits 18 meV per atom above it.